Ba2CaIn3Hg12: relaxed, PBE.

a b c (Å): 13.690 13.690 13.690
angles (deg): 29.67 29.67 29.67
Element x y z (fractional)
1 Hg 0.878 0.878 0.409
2 Hg 0.122 0.122 0.591
3 Hg 0.406 0.406 0.850
4 Hg 0.594 0.594 0.150
5 Hg 0.850 0.406 0.406
6 Hg 0.150 0.594 0.594
7 Hg 0.878 0.409 0.878
8 Hg 0.406 0.850 0.406
9 Hg 0.591 0.122 0.122
10 Hg 0.594 0.150 0.594
11 Hg 0.122 0.591 0.122
12 Hg 0.409 0.878 0.878
13 Ba 0.637 0.637 0.637
14 Ba 0.363 0.363 0.363
15 In 0.500 0.000 0.000
16 In 0.000 0.500 0.000
17 In 0.000 0.000 0.500
18 Ca 0.000 0.000 0.000

Output
**Magnetic moment**: 0.000 μB per atom
**Energy of formation**: -0.1867 eV/atom
**V**: 30.9 Å³/atom